Record 1
VASP calculation (meta-GGA SCAN) on a crystal of HgP2S2 relaxed with PBEsol.

Size of the total moment ... 0.7 μB per cell
Uncorrected formation energy ... 1607 meV per atom
Symmetry ... P4/mmm, No. 123

Unit cell a=4.9382 b=4.9382 c=4.7517 alpha=90.00 beta=90.00 gamma=90.00
Last column: nearest neighbours and their distance in Å.
Fractional positions:
Hg1 0.0000 0.0000 0.0000  2 S 2.38, 4 P 2.47
P1 0.0000 0.5000 0.0000  2 Hg 2.47
P2 0.5000 0.0000 0.0000  2 Hg 2.47
S1 0.0000 0.0000 0.5000  2 Hg 2.38
S2 0.5000 0.5000 0.5000  8 P 3.43, 4 S 3.49

Record 2
VASP calculation (meta-GGA SCAN) on a crystal of HgPSeS2 relaxed with PBEsol.

Size of the total moment ... 0.0 μB per cell
Uncorrected formation energy ... 1321 meV per atom
Symmetry ... P4/mmm, No. 123

Unit cell a=4.7965 b=4.7965 c=5.0153 alpha=90.00 beta=90.00 gamma=90.00
Last column: nearest neighbours and their distance in Å.
Fractional positions:
Hg1 0.0000 0.0000 0.0000  4 S 2.40, 2 P 2.51
P1 0.0000 0.0000 0.5000  2 Hg 2.51
Se1 0.5000 0.5000 0.5000  4 P 3.39, 8 S 3.47
S1 0.0000 0.5000 0.0000  2 Hg 2.40
S2 0.5000 0.0000 0.0000  2 Hg 2.40

Record 3
VASP calculation (meta-GGA SCAN) on a crystal of SrHgP2S relaxed with PBEsol.

Size of the total moment ... 1.3 μB per cell
Uncorrected formation energy ... 981 meV per atom
Symmetry ... P4/mmm, No. 123

Unit cell a=5.4952 b=5.4952 c=5.3013 alpha=90.00 beta=90.00 gamma=90.00
Last column: nearest neighbours and their distance in Å.
Fractional positions:
Sr1 0.0000 0.0000 0.0000  2 S 2.65, 4 P 2.75
Hg1 0.5000 0.5000 0.5000  8 P 3.82, 4 S 3.89
P1 0.0000 0.5000 0.0000  2 Sr 2.75
P2 0.5000 0.0000 0.0000  2 Sr 2.75
S1 0.0000 0.0000 0.5000  2 Sr 2.65

Record 4
VASP calculation (meta-GGA SCAN) on a crystal of TaHgPS2 relaxed with PBEsol.

Size of the total moment ... 1.3 μB per cell
Uncorrected formation energy ... 1531 meV per atom
Symmetry ... P4/mmm, No. 123

Unit cell a=4.7445 b=4.7445 c=4.7986 alpha=90.00 beta=90.00 gamma=90.00
Last column: nearest neighbours and their distance in Å.
Fractional positions:
Ta1 0.0000 0.0000 0.0000  4 P 3.35, 8 S 3.37
Hg1 0.5000 0.5000 0.5000  4 S 2.37, 2 P 2.40
P1 0.5000 0.5000 0.0000  2 Hg 2.40
S1 0.0000 0.5000 0.5000  2 Hg 2.37
S2 0.5000 0.0000 0.5000  2 Hg 2.37

Record 5
VASP calculation (meta-GGA SCAN) on a crystal of TiHgP2S relaxed with PBEsol.

Size of the total moment ... 0.0 μB per cell
Uncorrected formation energy ... 101 meV per atom
Symmetry ... P4/mmm, No. 123

Unit cell a=4.7502 b=4.7502 c=4.5244 alpha=90.00 beta=90.00 gamma=90.00
Last column: nearest neighbours and their distance in Å.
Fractional positions:
Ti1 0.0000 0.0000 0.0000  2 S 2.26, 4 P 2.38
Hg1 0.5000 0.5000 0.5000  8 P 3.28, 4 S 3.36
P1 0.0000 0.5000 0.0000  2 Ti 2.38
P2 0.5000 0.0000 0.0000  2 Ti 2.38
S1 0.0000 0.0000 0.5000  2 Ti 2.26

Record 6
VASP calculation (meta-GGA SCAN) on a crystal of TlHgPS2 relaxed with PBEsol.

Size of the total moment ... 1.9 μB per cell
Uncorrected formation energy ... 1022 meV per atom
Symmetry ... P4/mmm, No. 123

Unit cell a=5.0198 b=5.0198 c=5.2051 alpha=90.00 beta=90.00 gamma=90.00
Last column: nearest neighbours and their distance in Å.
Fractional positions:
Tl1 0.0000 0.0000 0.0000  4 S 2.51, 2 P 2.60
Hg1 0.5000 0.5000 0.5000  4 P 3.55, 8 S 3.62
P1 0.0000 0.0000 0.5000  2 Tl 2.60
S1 0.0000 0.5000 0.0000  2 Tl 2.51
S2 0.5000 0.0000 0.0000  2 Tl 2.51